The following is a PBE-GGA calculation of NbN after structural relaxation, from OQMD via LeMat-Bulk.

Unit cell a=5.9196 b=3.2523 c=5.2497 alpha=90.00 beta=90.00 gamma=90.00
Closest atoms and distances in Å follow each position.
Fractional positions:
1 Nb 0.2500 0.0000 0.0240  3 N 1.97-2.01
2 Nb 0.0000 0.5000 0.5000  6 N 2.20-2.25
3 Nb 0.5000 0.5000 0.5000  6 N 2.20-2.25
4 N 0.7500 0.0000 0.5940  1 Nb 2.01
5 Nb 0.7500 0.0000 0.9760  3 N 1.97-2.01
6 N 0.2500 0.5000 0.8109  4 Nb 1.97-2.20
7 N 0.7500 0.5000 0.1891  4 Nb 1.97-2.20
8 N 0.2500 0.0000 0.4060  1 Nb 2.01

Space-group type = Pmma
Magnetization = 0.0 μB per formula unit
Crystal system = orthorhombic

---

The following is a PBE-GGA calculation of NbN after structural relaxation, from OQMD via LeMat-Bulk.

Unit cell a=3.3746 b=3.3746 c=3.3746 alpha=120.00 beta=90.00 gamma=120.00
Closest atoms and distances in Å follow each position.
Fractional positions:
1 N 0.7500 0.5000 0.2500  4 Nb 2.07
2 Nb 0.0000 0.0000 0.0000  4 N 2.07

Space-group type = F-43m
Magnetization = 0.0 μB per formula unit
Crystal system = cubic

---

The following is a PBE-GGA calculation of NdNb2N after structural relaxation, from OQMD via LeMat-Bulk.

Unit cell a=3.2214 b=3.2214 c=16.2468 alpha=90.00 beta=90.00 gamma=120.00
Closest atoms and distances in Å follow each position.
Fractional positions:
1 Nd 0.3333 0.6667 0.7500  6 Nd 3.22, 6 Nb 3.46
2 N 0.0000 0.0000 0.0000  6 Nb 2.18
3 Nb 0.3333 0.6667 0.4296  3 N 2.18
4 Nb 0.6667 0.3333 0.9296  3 N 2.18
5 N 0.0000 0.0000 0.5000  6 Nb 2.18
6 Nb 0.6667 0.3333 0.5704  3 N 2.18
7 Nb 0.3333 0.6667 0.0704  3 N 2.18
8 Nd 0.6667 0.3333 0.2500  6 Nd 3.22, 6 Nb 3.46

Space-group type = P6_3/mmc
Magnetization = 0.0 μB per formula unit
Crystal system = hexagonal

---

| no. | energy (eV per atom) |
| --- | --- |
| 1 | -9.810 |
| 2 | -9.864 |
| 3 | -8.612 |